P:
A relaxed LaTmCu4 crystal, computed with PBE.

Cell lengths 7.529, 7.529, 7.529 Å; angles 90.00, 90.00, 90.00 degrees
Space group F-43m (No. 216)
Unique sites:
La  0.000  0.000  0.000 x4
Tm  0.250  0.250  0.250 x4
Cu  0.123  0.123  0.623 x16

Results
For the density of states at the Fermi level, the calculation gives 17.76 states/eV per cell.

***

Q:
A relaxed LaTmCu4 crystal, computed with PBE.

Cell lengths 4.326, 7.027, 7.432 Å; angles 90.00, 90.00, 90.00 degrees
Space group Imm2 (No. 44)
Unique sites:
La  0.000  0.000  0.000 x2
Tm  0.000  0.500  0.923 x2
Cu  0.000  0.194  0.619 x4
Cu  0.000  0.293  0.290 x4

Results
For the density of states at the Fermi level, the calculation gives 7.46 states/eV per cell.

***

Q: Which of them is the least stable? A: P.

***

P:
A relaxed LaTmCu crystal, computed with PBE.

Cell lengths 3.544, 3.544, 12.547 Å; angles 90.00, 90.00, 90.00 degrees
Space group I4mm (No. 107)
Unique sites:
La  0.000  0.000  0.000 x2
Tm  0.000  0.000  0.277 x2
Cu  0.000  0.000  0.664 x2

Results
For the density of states at the Fermi level, the calculation gives 7.23 states/eV per cell.

***

Q:
A relaxed LaTmCu crystal, computed with PBE.

Cell lengths 4.6913, 4.6913, 26.7274 Å; angles 90.00, 90.00, 120.00 degrees
Space group R-3m (No. 166, hexagonal axes)
Unique sites:
La  0.0000  0.0000  0.1227 x6
Tm  0.0000  0.0000  0.3694 x6
Cu  0.0000  0.0000  0.2613 x6

Results
For the density of states at the Fermi level, the calculation gives 22.25 states/eV per cell.

***

Q: Which of them is the least stable? A: Q.

***

P:
A relaxed LaV2Cu2 crystal, computed with PBE.

Cell lengths 7.656, 7.656, 2.797 Å; angles 90.00, 90.00, 90.00 degrees
Space group P4/mbm (No. 127)
Unique sites:
La  0.000  0.000  0.000 x2
V  0.107  0.393  0.000 x4
Cu  0.181  0.681  0.500 x4

Results
For the density of states at the Fermi level, the calculation gives 13.82 states/eV per cell.

***

Q:
A relaxed LaV2Cu2 crystal, computed with PBE.

Cell lengths 4.009, 4.009, 10.993 Å; angles 90.00, 90.00, 90.00 degrees
Space group I4/mmm (No. 139)
Unique sites:
La  0.000  0.000  0.000 x2
V  0.000  0.000  0.389 x4
Cu  0.000  0.500  0.250 x4

Results
For the density of states at the Fermi level, the calculation gives 12.07 states/eV per cell.

***

Q: Which of them is the least stable? A: Q.

***

P:
A relaxed LaV3Cu crystal, computed with PBE.

Cell lengths 4.703, 4.703, 4.703 Å; angles 90.00, 90.00, 90.00 degrees
Space group Pm-3m (No. 221)
Unique sites:
La  0.000  0.000  0.000 x1
V  0.000  0.500  0.500 x3
Cu  0.500  0.500  0.500 x1

Results
For the density of states at the Fermi level, the calculation gives 11.54 states/eV per cell.

***

Q:
A relaxed LaV3Cu crystal, computed with PBE.

Cell lengths 4.519, 4.519, 4.519 Å; angles 90.00, 90.00, 90.00 degrees
Space group Pm-3m (No. 221)
Unique sites:
La  0.000  0.000  0.000 x1
V  0.000  0.000  0.500 x3
Cu  0.500  0.500  0.500 x1

Results
For the density of states at the Fermi level, the calculation gives 3.20 states/eV per cell.

***

Q: Which of them is the least stable? A: Q.

***

P:
A relaxed LaCuW2 crystal, computed with PBE.

Cell lengths 2.8984, 2.8984, 30.3864 Å; angles 90.00, 90.00, 120.00 degrees
Space group R3m (No. 160, hexagonal axes)
Unique sites:
La  0.0000  0.0000  0.0000 x3
Cu  0.0000  0.0000  0.2429 x3
W  0.0000  0.0000  0.5073 x3
W  0.0000  0.0000  0.7626 x3

Results
For the density of states at the Fermi level, the calculation gives 13.02 states/eV per cell.

***

Q:
A relaxed LaCuW2 crystal, computed with PBE.

Cell lengths 5.599, 9.843, 2.735 Å; angles 90.00, 90.00, 90.00 degrees
Space group Cmmm (No. 65)
Unique sites:
La  0.000  0.000  0.000 x2
Cu  0.000  0.500  0.000 x2
W  0.250  0.250  0.500 x4

Results
For the density of states at the Fermi level, the calculation gives 7.89 states/eV per cell.

***

Q: Which of them is the least stable? A: Q.

***

P:
A relaxed LaCuW2 crystal, computed with PBE.

Cell lengths 3.964, 3.964, 4.920 Å; angles 90.00, 90.00, 90.00 degrees
Space group P4/mmm (No. 123)
Unique sites:
La  0.000  0.000  0.000 x1
Cu  0.500  0.500  0.000 x1
W  0.000  0.500  0.500 x2

Results
For the density of states at the Fermi level, the calculation gives 3.61 states/eV per cell.

***

Q:
A relaxed LaCuW2 crystal, computed with PBE.

Cell lengths 2.756, 5.030, 10.832 Å; angles 90.00, 90.00, 90.00 degrees
Space group Immm (No. 71)
Unique sites:
La  0.000  0.000  0.000 x2
Cu  0.000  0.000  0.500 x2
W  0.000  0.500  0.220 x4

Results
For the density of states at the Fermi level, the calculation gives 7.35 states/eV per cell.

***

Q: Which of them is the least stable? A: P.

***

P:
A relaxed LaCuW crystal, computed with PBE.

Cell lengths 6.479, 6.479, 6.479 Å; angles 90.00, 90.00, 90.00 degrees
Space group F-43m (No. 216)
Unique sites:
La  0.000  0.000  0.000 x4
Cu  0.250  0.250  0.750 x4
W  0.000  0.000  0.500 x4

Results
For the density of states at the Fermi level, the calculation gives 18.52 states/eV per cell.

***

Q:
A relaxed LaCuW crystal, computed with PBE.

Cell lengths 3.006, 3.696, 11.018 Å; angles 90.00, 90.00, 90.00 degrees
Space group Imm2 (No. 44)
Unique sites:
La  0.000  0.000  0.000 x2
Cu  0.000  0.000  0.297 x2
W  0.000  0.000  0.705 x2

Results
For the density of states at the Fermi level, the calculation gives 5.00 states/eV per cell.

***

R:
A relaxed LaCuW crystal, computed with PBE.

Cell lengths 2.914, 2.914, 13.600 Å; angles 90.00, 90.00, 90.00 degrees
Space group I4mm (No. 107)
Unique sites:
La  0.000  0.000  0.000 x2
Cu  0.000  0.000  0.319 x2
W  0.000  0.000  0.696 x2

Results
For the density of states at the Fermi level, the calculation gives 3.97 states/eV per cell.

***

S:
A relaxed LaCuW crystal, computed with PBE.

Cell lengths 4.8435, 4.8435, 2.9545 Å; angles 90.00, 90.00, 120.00 degrees
Space group P-6m2 (No. 187)
Unique sites:
La  0.0000  0.0000  0.0000 x1
Cu  0.3333  0.6667  0.5000 x1
W  0.6667  0.3333  0.5000 x1

Results
For the density of states at the Fermi level, the calculation gives 4.00 states/eV per cell.

***

Q: Which of them is the least stable? A: P.

***

P:
A relaxed LaY2Cu crystal, computed with PBE.

Cell lengths 4.618, 4.618, 10.391 Å; angles 90.00, 90.00, 90.00 degrees
Space group I4/mmm (No. 139)
Unique sites:
La  0.000  0.000  0.000 x2
Y  0.000  0.500  0.250 x4
Cu  0.000  0.000  0.500 x2

Results
For the density of states at the Fermi level, the calculation gives 13.01 states/eV per cell.

***

Q:
A relaxed LaY2Cu crystal, computed with PBE.

Cell lengths 3.7345, 3.7345, 29.6753 Å; angles 90.00, 90.00, 120.00 degrees
Space group R-3m (No. 166, hexagonal axes)
Unique sites:
La  0.0000  0.0000  0.0000 x3
Y  0.0000  0.0000  0.2303 x6
Cu  0.0000  0.0000  0.5000 x3

Results
For the density of states at the Fermi level, the calculation gives 21.18 states/eV per cell.

***

R:
A relaxed LaY2Cu crystal, computed with PBE.

Cell lengths 7.005, 8.610, 3.636 Å; angles 90.00, 90.00, 90.00 degrees
Space group Cmmm (No. 65)
Unique sites:
La  0.000  0.000  0.000 x2
Y  0.250  0.250  0.500 x4
Cu  0.000  0.500  0.000 x2

Results
For the density of states at the Fermi level, the calculation gives 10.01 states/eV per cell.

***

Q: Which of them is the least stable? A: P.

***

P:
A relaxed La2YCu2 crystal, computed with PBE.

Cell lengths 8.512, 8.512, 3.455 Å; angles 90.00, 90.00, 90.00 degrees
Space group P4/mbm (No. 127)
Unique sites:
La  0.136  0.364  0.000 x4
Y  0.000  0.000  0.000 x2
Cu  0.165  0.665  0.500 x4

Results
For the density of states at the Fermi level, the calculation gives 6.83 states/eV per cell.

***

Q:
A relaxed La2YCu2 crystal, computed with PBE.

Cell lengths 4.839, 4.839, 11.552 Å; angles 90.00, 90.00, 90.00 degrees
Space group I4/mmm (No. 139)
Unique sites:
La  0.000  0.500  0.250 x4
Y  0.000  0.000  0.000 x2
Cu  0.000  0.000  0.401 x4

Results
For the density of states at the Fermi level, the calculation gives 13.30 states/eV per cell.

***

Q: Which of them is the least stable? A: Q.